The following is a PBE calculation of an optimized crystal structure of Pa2SnSe, from Alexandria via LeMat-Bulk.

Lattice parameters (Å, degrees): 5.1544 5.1544 5.1544 60.00 60.00 60.00
Last column: magnetic moment on the atom in μB.
Atoms (fractional coordinates):
Se (0.0000, 0.0000, 0.0000)  -0.03
Sn (0.5000, 0.5000, 0.5000)  -0.03
Pa (0.2500, 0.2500, 0.2500)  0.74
Pa (0.7500, 0.7500, 0.7500)  0.74

For the density of states at the Fermi level, the calculation gives 2.20 states/eV/atom. For the uncorrected formation energy, the calculation gives -0.4932 eV per atom. The space-group type is Fm-3m (225). The polymorph energy (0 for the lowest one) comes out at 86 meV per atom. The electronic total energy is -7.113 eV per atom.